{"formula": "Tb2Tm3Pt4", "functional": "PBE", "state": "relaxed", "crystal_system": "monoclinic", "mass_density_kg_m3": 12988, "e_tot_ev_per_atom": -6.422, "polymorph_energy_mev_per_atom": 0, "lattice": [[7.520, -0.060, 0.000], [-2.531, 7.161, 0.000], [0.000, 0.000, 7.643]], "species": ["Tb", "Tb", "Tb", "Tb", "Tm", "Tm", "Tm", "Tm", "Tm", "Tm", "Pt", "Pt", "Pt", "Pt", "Pt", "Pt", "Pt", "Pt"], "frac_coords": [[0.572, 0.193, 0.321], [0.928, 0.807, 0.821], [0.428, 0.807, 0.679], [0.072, 0.193, 0.179], [0.000, 0.500, 0.500], [0.500, 0.500, 0.000], [0.746, 0.245, 0.834], [0.754, 0.755, 0.334], [0.254, 0.755, 0.166], [0.246, 0.245, 0.666], [0.851, 0.087, 0.537], [0.649, 0.913, 0.037], [0.149, 0.913, 0.463], [0.351, 0.087, 0.963], [0.867, 0.491, 0.136], [0.633, 0.509, 0.636], [0.133, 0.509, 0.864], [0.367, 0.491, 0.364]]}